Record 1
VASP calculation (GGA-PBE) on crystalline SrPCl at its relaxed geometry.

Summary:
E_form (uncorrected)   -1.54 eV/f.u.
Space-group type   F-43m, No. 216

extended XYZ file:
```
12
Lattice="7.063 0.000 0.000 0.000 7.063 0.000 0.000 0.000 7.063" Properties=species:S:1:pos:R:3 pbc="T T T"
Sr 0.000 0.000 0.000
Sr 0.000 3.532 3.532
Sr 3.532 0.000 3.532
Sr 3.532 3.532 0.000
P 0.000 0.000 3.532
P 0.000 3.532 0.000
P 3.532 0.000 0.000
P 3.532 3.532 3.532
Cl 1.766 1.766 1.766
Cl 1.766 5.297 5.297
Cl 5.297 1.766 5.297
Cl 5.297 5.297 1.766
```



Record 2
VASP calculation (GGA-PBE) on crystalline SrPCl at its relaxed geometry.

Summary:
E_form (uncorrected)   -4.71 eV/f.u.
Space-group type   P2_1/m, No. 11

extended XYZ file:
```
6
Lattice="4.125 0.000 0.000 0.000 3.811 0.000 -0.422 0.000 9.199" Properties=species:S:1:pos:R:3 pbc="T T T"
Sr 0.807 0.953 2.400
Sr 2.897 2.859 6.800
P 0.928 2.859 9.131
P 2.776 0.953 0.068
Cl 0.821 0.953 5.714
Cl 2.882 2.859 3.486
```



Record 3
VASP calculation (GGA-PBE) on crystalline SrPCl at its relaxed geometry.

Summary:
E_form (uncorrected)   -4.44 eV/f.u.
Space-group type   Amm2, No. 38

extended XYZ file:
```
12
Lattice="3.999 0.000 0.000 0.000 4.490 0.000 0.000 0.000 19.252" Properties=species:S:1:pos:R:3 pbc="T T T"
Sr 0.000 0.000 0.000
Sr 0.000 2.245 9.626
Sr 2.000 0.000 5.027
Sr 2.000 2.245 14.653
P 0.000 0.000 7.423
P 0.000 2.245 17.049
P 2.000 0.000 8.455
P 2.000 2.245 18.081
Cl 0.000 0.000 14.098
Cl 0.000 2.245 4.472
Cl 2.000 0.000 2.101
Cl 2.000 2.245 11.727
```



Record 4
VASP calculation (GGA-PBE) on crystalline SrP2Cl at its relaxed geometry.

Summary:
E_form (uncorrected)   -3.88 eV/f.u.
Space-group type   C2/m, No. 12

extended XYZ file:
```
8
Lattice="12.349 0.000 0.000 0.000 3.478 0.000 -0.818 0.000 4.675" Properties=species:S:1:pos:R:3 pbc="T T T"
Sr 0.000 0.000 0.000
Sr 6.174 1.739 0.000
P 2.745 1.739 0.599
P 2.612 0.000 4.075
P 8.919 0.000 0.599
P 8.786 1.739 4.075
Cl -0.409 1.739 2.337
Cl 5.765 0.000 2.337
```